# 1
{
  "formula": "Na3MoPb",
  "functional": "GGA-PBEsol",
  "state": "optimized geometry",
  "cell": [[5.753, 0.000, 0.000], [0.000, 5.753, 0.000], [0.000, 0.000, 5.753]],
  "species": ["Na", "Na", "Na", "Mo", "Pb"],
  "frac_coords": [[0.000, 0.000, 0.500], [0.000, 0.500, 0.000], [0.500, 0.000, 0.000], [0.500, 0.500, 0.500], [0.000, 0.000, 0.000]],
  "delta_e_f_ev_per_atom": 1.29
}



# 2
{
  "formula": "NaMo3Pb",
  "functional": "GGA-PBEsol",
  "state": "optimized geometry",
  "cell": [[4.563, 0.000, 0.000], [0.000, 4.563, 0.000], [0.000, 0.000, 4.563]],
  "species": ["Na", "Mo", "Mo", "Mo", "Pb"],
  "frac_coords": [[0.000, 0.000, 0.000], [0.000, 0.000, 0.500], [0.000, 0.500, 0.000], [0.500, 0.000, 0.000], [0.500, 0.500, 0.500]],
  "delta_e_f_ev_per_atom": 2.55
}



# 3
{
  "formula": "NaMoRuPb2",
  "functional": "GGA-PBEsol",
  "state": "optimized geometry",
  "cell": [[5.375, 0.000, 0.000], [0.000, 5.375, 0.000], [0.000, 0.000, 4.608]],
  "species": ["Na", "Mo", "Ru", "Pb", "Pb"],
  "frac_coords": [[0.000, 0.000, 0.000], [0.500, 0.500, 0.500], [0.500, 0.500, 0.000], [0.000, 0.500, 0.500], [0.500, 0.000, 0.500]],
  "delta_e_f_ev_per_atom": 0.85
}



# 4
{
  "formula": "NaSbMoPb2",
  "functional": "GGA-PBEsol",
  "state": "optimized geometry",
  "cell": [[5.396, 0.000, 0.000], [0.000, 5.396, 0.000], [0.000, 0.000, 5.211]],
  "species": ["Na", "Sb", "Mo", "Pb", "Pb"],
  "frac_coords": [[0.000, 0.000, 0.000], [0.500, 0.500, 0.000], [0.500, 0.500, 0.500], [0.000, 0.500, 0.500], [0.500, 0.000, 0.500]]
}



# 5
{
  "formula": "Na3MoPt",
  "functional": "GGA-PBEsol",
  "state": "optimized geometry",
  "cell": [[5.338, 0.000, 0.000], [0.000, 5.338, 0.000], [0.000, 0.000, 5.338]],
  "species": ["Na", "Na", "Na", "Mo", "Pt"],
  "frac_coords": [[0.000, 0.000, 0.500], [0.000, 0.500, 0.000], [0.500, 0.000, 0.000], [0.500, 0.500, 0.500], [0.000, 0.000, 0.000]],
  "delta_e_f_ev_per_atom": 1.27
}



# 6
{
  "formula": "NaMoPt2W",
  "functional": "GGA-PBEsol",
  "state": "optimized geometry",
  "cell": [[4.342, 0.000, 0.000], [0.000, 4.342, 0.000], [0.000, 0.000, 4.452]],
  "species": ["Na", "Mo", "Pt", "Pt", "W"],
  "frac_coords": [[0.000, 0.000, 0.000], [0.000, 0.000, 0.500], [0.000, 0.500, 0.000], [0.500, 0.000, 0.000], [0.500, 0.500, 0.500]],
  "delta_e_f_ev_per_atom": 2.10
}



# 7
{
  "formula": "NaZnMoPt2",
  "functional": "GGA-PBEsol",
  "state": "optimized geometry",
  "cell": [[4.548, 0.000, 0.000], [0.000, 4.548, 0.000], [0.000, 0.000, 4.271]],
  "species": ["Na", "Zn", "Mo", "Pt", "Pt"],
  "frac_coords": [[0.000, 0.000, 0.000], [0.000, 0.000, 0.500], [0.500, 0.500, 0.500], [0.000, 0.500, 0.000], [0.500, 0.000, 0.000]],
  "delta_e_f_ev_per_atom": 1.60
}



# 8
{
  "formula": "RbNaMo2",
  "functional": "GGA-PBEsol",
  "state": "optimized geometry",
  "cell": [[0.000, 3.679, 3.679], [3.679, 0.000, 3.679], [3.679, 3.679, 0.000]],
  "species": ["Rb", "Na", "Mo", "Mo"],
  "frac_coords": [[0.000, 0.000, 0.000], [0.500, 0.500, 0.500], [0.250, 0.250, 0.250], [0.750, 0.750, 0.750]],
  "delta_e_f_ev_per_atom": 2.54
}



# 9
{
  "formula": "NaMoRh3",
  "functional": "GGA-PBEsol",
  "state": "optimized geometry",
  "cell": [[4.640, 0.000, 0.000], [0.000, 4.640, 0.000], [0.000, 0.000, 4.640]],
  "species": ["Na", "Mo", "Rh", "Rh", "Rh"],
  "frac_coords": [[0.000, 0.000, 0.000], [0.500, 0.500, 0.500], [0.000, 0.500, 0.500], [0.500, 0.000, 0.500], [0.500, 0.500, 0.000]],
  "delta_e_f_ev_per_atom": 0.94
}



# 10
{
  "formula": "NaMoS2",
  "functional": "GGA-PBEsol",
  "state": "optimized geometry",
  "cell": [[0.000, 3.080, 3.080], [3.080, 0.000, 3.080], [3.080, 3.080, 0.000]],
  "species": ["Na", "Mo", "S", "S"],
  "frac_coords": [[0.000, 0.000, 0.000], [0.500, 0.500, 0.500], [0.250, 0.250, 0.250], [0.750, 0.750, 0.750]]
}



# 11
{
  "formula": "NaMo2WS",
  "functional": "GGA-PBEsol",
  "state": "optimized geometry",
  "cell": [[4.864, 0.000, 0.000], [0.000, 4.864, 0.000], [0.000, 0.000, 4.683]],
  "species": ["Na", "Mo", "Mo", "W", "S"],
  "frac_coords": [[0.000, 0.000, 0.000], [0.000, 0.500, 0.500], [0.500, 0.000, 0.500], [0.500, 0.500, 0.500], [0.500, 0.500, 0.000]]
}



# 12
{
  "formula": "NaSb2Mo2",
  "functional": "GGA-PBEsol",
  "state": "optimized geometry",
  "cell": [[-2.520, 2.520, 4.485], [2.520, -2.520, 4.485], [2.520, 2.520, -4.485]],
  "species": ["Na", "Sb", "Sb", "Mo", "Mo"],
  "frac_coords": [[0.000, 0.000, 0.000], [0.250, 0.750, 0.500], [0.750, 0.250, 0.500], [0.382, 0.382, 0.000], [0.618, 0.618, 0.000]]
}



# 13
{
  "formula": "NaSbMo2",
  "functional": "GGA-PBEsol",
  "state": "optimized geometry",
  "cell": [[-3.893, 3.893, 2.617], [3.893, -3.893, 2.617], [3.893, 3.893, -2.617]],
  "species": ["Na", "Na", "Sb", "Sb", "Mo", "Mo", "Mo", "Mo"],
  "frac_coords": [[0.000, 0.000, 0.000], [0.750, 0.250, 0.500], [0.250, 0.750, 0.500], [0.500, 0.500, 0.000], [0.163, 0.625, 0.038], [0.375, 0.413, 0.538], [0.587, 0.125, 0.962], [0.875, 0.837, 0.462]]
}



# 14
{
  "formula": "NaSbTe2Mo",
  "functional": "GGA-PBEsol",
  "state": "optimized geometry",
  "cell": [[5.377, 0.000, 0.000], [0.000, 5.377, 0.000], [0.000, 0.000, 5.185]],
  "species": ["Na", "Sb", "Te", "Te", "Mo"],
  "frac_coords": [[0.000, 0.000, 0.000], [0.500, 0.500, 0.000], [0.000, 0.500, 0.500], [0.500, 0.000, 0.500], [0.500, 0.500, 0.500]]
}



# 15
{
  "formula": "NaZrSbMo2",
  "functional": "GGA-PBEsol",
  "state": "optimized geometry",
  "cell": [[4.838, 0.000, 0.000], [0.000, 4.838, 0.000], [0.000, 0.000, 5.480]],
  "species": ["Na", "Zr", "Sb", "Mo", "Mo"],
  "frac_coords": [[0.000, 0.000, 0.000], [0.500, 0.500, 0.500], [0.500, 0.500, 0.000], [0.000, 0.500, 0.500], [0.500, 0.000, 0.500]]
}



# 16
{
  "formula": "NaScMo2Se",
  "functional": "GGA-PBEsol",
  "state": "optimized geometry",
  "cell": [[4.521, 0.000, 0.000], [0.000, 4.521, 0.000], [0.000, 0.000, 4.883]],
  "species": ["Na", "Sc", "Mo", "Mo", "Se"],
  "frac_coords": [[0.000, 0.000, 0.000], [0.000, 0.000, 0.500], [0.000, 0.500, 0.000], [0.500, 0.000, 0.000], [0.500, 0.500, 0.500]]
}



# 17
{
  "formula": "NaMo3Se3",
  "functional": "GGA-PBEsol",
  "state": "optimized geometry",
  "cell": [[8.597, 0.000, 0.000], [-4.299, 7.445, 0.000], [0.000, 0.000, 4.460]],
  "species": ["Na", "Na", "Mo", "Mo", "Mo", "Mo", "Mo", "Mo", "Se", "Se", "Se", "Se", "Se", "Se"],
  "frac_coords": [[0.333, 0.667, 0.250], [0.667, 0.333, 0.750], [0.044, 0.195, 0.250], [0.151, 0.956, 0.250], [0.195, 0.151, 0.750], [0.805, 0.849, 0.250], [0.849, 0.044, 0.750], [0.956, 0.805, 0.750], [0.085, 0.384, 0.750], [0.299, 0.915, 0.750], [0.384, 0.299, 0.250], [0.616, 0.701, 0.750], [0.701, 0.085, 0.250], [0.915, 0.616, 0.250]]
}



# 18
{
  "formula": "NaMo3Se4",
  "functional": "GGA-PBEsol",
  "state": "optimized geometry",
  "cell": [[6.829, 0.000, 0.000], [0.630, 6.914, 0.000], [1.183, 0.083, 6.903]],
  "species": ["Na", "Na", "Mo", "Mo", "Mo", "Mo", "Mo", "Mo", "Se", "Se", "Se", "Se", "Se", "Se", "Se", "Se"],
  "frac_coords": [[0.217, 0.074, 0.491], [0.783, 0.926, 0.509], [0.236, 0.591, 0.956], [0.394, 0.439, 0.252], [0.465, 0.248, 0.914], [0.535, 0.752, 0.086], [0.606, 0.561, 0.748], [0.764, 0.409, 0.044], [0.121, 0.271, 0.124], [0.176, 0.758, 0.273], [0.303, 0.416, 0.643], [0.394, 0.891, 0.787], [0.606, 0.109, 0.213], [0.697, 0.584, 0.357], [0.824, 0.242, 0.727], [0.879, 0.729, 0.876]]
}



# 19
{
  "formula": "Na2MoSe",
  "functional": "GGA-PBEsol",
  "state": "optimized geometry",
  "cell": [[-4.872, 4.872, 2.394], [4.872, -4.872, 2.394], [4.872, 4.872, -2.394]],
  "species": ["Na", "Na", "Na", "Na", "Mo", "Mo", "Se", "Se"],
  "frac_coords": [[0.011, 0.625, 0.886], [0.375, 0.261, 0.386], [0.739, 0.125, 0.114], [0.875, 0.989, 0.614], [0.250, 0.750, 0.500], [0.500, 0.500, 0.000], [0.000, 0.000, 0.000], [0.750, 0.250, 0.500]]
}



# 20
{
  "formula": "NaSi3Mo",
  "functional": "GGA-PBEsol",
  "state": "optimized geometry",
  "cell": [[4.658, 0.000, 0.000], [0.000, 4.658, 0.000], [0.000, 0.000, 4.658]],
  "species": ["Na", "Si", "Si", "Si", "Mo"],
  "frac_coords": [[0.000, 0.000, 0.000], [0.000, 0.000, 0.500], [0.000, 0.500, 0.000], [0.500, 0.000, 0.000], [0.500, 0.500, 0.500]],
  "relative_energy_mev_per_atom": 1722
}



One value per record, in order, for total energy: -13.51 -27.94 -27.10 -24.13 -16.56 -30.42 -20.67 -15.78 -32.89 -23.08 -35.84 -32.83 -49.97 -23.77 -31.00 -25.06 -105.56 -114.66 -32.68 -20.44 eV for the cell shown.
One value per record, in order, for DOS at the Fermi energy: 2.6 7.1 5.0 2.7 1.1 4.5 3.6 4.2 2.6 3.1 5.6 2.1 7.3 4.8 6.1 4.4 1.7 6.7 5.9 3.3 states/eV per cell.